Computed, not measured: a relaxed structure of NiBi2Pb at the PBE-GGA level of DFT.

The structure in POSCAR format:
```
NiBi2Pb
1.0
3.902 0.000 0.715
1.693 6.678 1.767
0.437 0.665 8.616
Pb Bi Ni
2 4 2
direct
0.865 0.330 0.941
0.135 0.670 0.059
0.390 0.981 0.240
0.362 0.655 0.622
0.638 0.345 0.378
0.610 0.019 0.760
0.811 0.907 0.470
0.189 0.093 0.530
```

Values from the calculation:
Energy of formation from the pure elements, eV per atom: 0.0423
Space-group type: C2/m